P | DFT (GGA-PBE) results for a geometry-optimized As2SeClF structure.

Computed properties:
spin magnetization = 0.000 Bohr magnetons per cell
SG = P4/mmm (123)

Structure (POSCAR):
```
As2SeClF
1.0
-3.531 3.286 0.984
-3.234 -3.660 0.618
1.140 -0.202 4.766
As Se F Cl
2 1 1 1
Direct
0.500 0.000 0.000
0.000 0.500 0.000
0.000 0.000 0.500
0.500 0.500 0.500
0.000 0.000 0.000
```

=====

Q | DFT (GGA-PBE) results for a geometry-optimized As2SeClF structure.

Computed properties:
spin magnetization = 0.000 Bohr magnetons per cell
SG = P4/mmm (123)

Structure (POSCAR):
```
As2SeClF
1.0
4.676 0.000 0.000
0.000 4.676 0.000
0.000 0.000 4.705
Cl As F Se
1 2 1 1
Direct
0.500 0.500 0.500
0.000 0.500 0.000
0.500 0.000 0.000
0.000 0.000 0.000
0.000 0.000 0.500
```

=====

Which of them is least stable? Easy: P.

=====

P | DFT (GGA-PBE) results for a geometry-optimized Fe2AsCl structure.

Computed properties:
spin magnetization = 6.484 Bohr magnetons per cell
SG = P2/m (10)

Structure (POSCAR):
```
Fe2AsCl
1.0
-1.901 2.419 -0.089
-4.101 -3.069 4.195
-0.991 -0.593 5.071
As Cl Fe
1 1 2
Direct
0.500 0.500 0.500
0.000 0.000 0.500
0.000 0.000 0.000
0.500 0.500 0.000
```

=====

Q | DFT (GGA-PBE) results for a geometry-optimized Fe2AsCl structure.

Computed properties:
spin magnetization = 5.812 Bohr magnetons per cell
SG = I-4m2 (119)

Structure (POSCAR):
```
Fe2AsCl
1.0
-0.662 1.022 -6.059
-0.672 -3.704 -4.901
-1.749 1.415 5.756
Cl Fe As
1 2 1
Direct
0.250 0.750 0.500
0.000 0.000 0.000
0.750 0.250 0.500
0.500 0.500 0.000
```

=====

Which of them is least stable? Easy: Q.

=====

P | DFT (GGA-PBE) results for a geometry-optimized Fe2AsCl structure.

Computed properties:
spin magnetization = 3.751 Bohr magnetons per cell
SG = Fm-3m (225)

Structure (POSCAR):
```
Fe2AsCl
1.0
0.000 3.015 3.015
3.015 0.000 3.015
3.015 3.015 0.000
As Fe Cl
1 2 1
Direct
0.500 0.500 0.500
0.250 0.250 0.250
0.750 0.750 0.750
0.000 0.000 0.000
```

=====

Q | DFT (GGA-PBE) results for a geometry-optimized Fe2AsCl structure.

Computed properties:
spin magnetization = 5.641 Bohr magnetons per cell
SG = P4mm (99)

Structure (POSCAR):
```
Fe2AsCl
1.0
3.127 0.012 0.000
-0.010 3.127 0.000
0.000 0.000 7.303
Cl As Fe
1 1 2
Direct
0.500 0.500 0.851
0.000 0.000 0.389
0.500 0.500 0.218
0.000 0.000 0.042
```

=====

Which of them is least stable? Easy: P.

=====

P | DFT (GGA-PBE) results for a geometry-optimized Fe2AsCl structure.

Computed properties:
spin magnetization = 4.809 Bohr magnetons per cell
SG = Pmm2 (25)

Structure (POSCAR):
```
Fe2AsCl
1.0
3.653 0.000 0.000
0.000 3.293 -0.052
0.000 0.103 6.546
Cl As Fe
1 1 2
Direct
0.500 0.875 0.863
0.000 0.375 0.385
0.500 0.375 0.136
0.000 0.875 0.115
```

=====

Q | DFT (GGA-PBE) results for a geometry-optimized Fe2AsCl structure.

Computed properties:
spin magnetization = 9.866 Bohr magnetons per cell
SG = I-42d (122)

Structure (POSCAR):
```
Fe2AsCl
1.0
-0.043 -5.697 -0.140
3.378 -0.138 4.588
-2.073 -2.957 4.977
As Fe Cl
2 4 2
Direct
0.750 0.250 0.500
0.000 0.000 0.000
0.127 0.625 0.250
0.375 0.377 0.750
0.875 0.873 0.750
0.623 0.125 0.250
0.500 0.500 0.000
0.250 0.750 0.500
```

=====

Which of them is least stable? Easy: Q.

=====

P | DFT (GGA-PBE) results for a geometry-optimized Fe2AsCl structure.

Computed properties:
spin magnetization = 5.608 Bohr magnetons per cell
SG = P4/mmm (123)

Structure (POSCAR):
```
Fe2AsCl
1.0
3.121 0.000 0.000
0.000 3.121 0.000
0.000 0.000 6.567
Cl As Fe
1 1 2
Direct
0.500 0.500 0.750
0.500 0.500 0.250
0.000 0.000 0.444
0.000 0.000 0.056
```

=====

Q | DFT (GGA-PBE) results for a geometry-optimized Fe2AsCl structure.

Computed properties:
spin magnetization = 5.134 Bohr magnetons per cell
SG = Imm2 (44)

Structure (POSCAR):
```
Fe2AsCl
1.0
7.103 -0.038 -0.118
5.545 4.439 0.118
-6.399 -1.987 2.362
As Fe Cl
1 2 1
Direct
0.534 0.534 0.000
0.027 0.027 0.000
0.671 0.171 0.500
0.268 0.768 0.500
```

=====

Which of them is least stable? Easy: P.

=====

P | DFT (GGA-PBE) results for a geometry-optimized Fe2AsCl structure.

Computed properties:
spin magnetization = 4.782 Bohr magnetons per cell
SG = Pmmm (47)

Structure (POSCAR):
```
Fe2AsCl
1.0
2.838 0.000 0.000
0.000 6.127 0.000
0.000 0.000 3.843
As Fe Cl
1 2 1
Direct
0.500 0.000 0.500
0.000 0.000 0.000
0.500 0.500 0.000
0.000 0.500 0.500
```

=====

Q | DFT (GGA-PBE) results for a geometry-optimized Fe2AsCl structure.

Computed properties:
spin magnetization = 5.272 Bohr magnetons per cell
SG = Cm (8)

Structure (POSCAR):
```
Fe2AsCl
1.0
4.194 0.008 0.128
3.072 2.855 0.128
2.723 1.073 7.195
Cl Fe As
1 2 1
Direct
0.380 0.380 0.161
0.940 0.940 0.923
0.708 0.708 0.768
0.472 0.472 0.648
```

=====

Which of them is least stable? Easy: P.